{"formula": "Ni6SbPd", "functional": "PBE-GGA", "state": "relaxed", "raw_formation_energy_mev_per_atom": -45.3, "vol_a3_per_atom": 12.5, "n_ef_per_ev_fu": 12.3, "final_energy_ev_per_atom": -5.546, "density_g_cm3": 9.63, "lattice": [[-6.3661, -0.2480, 0.3882], [2.5024, -5.2808, 2.5673], [0.3839, 4.7039, 9.3015]], "species": ["Ni", "Ni", "Ni", "Ni", "Ni", "Ni", "Ni", "Ni", "Ni", "Ni", "Ni", "Ni", "Ni", "Ni", "Ni", "Ni", "Ni", "Ni", "Ni", "Ni", "Ni", "Ni", "Ni", "Ni", "Sb", "Sb", "Sb", "Sb", "Pd", "Pd", "Pd", "Pd"], "frac_coords": [[0.6247, 0.8731, 0.3736], [0.3753, 0.1269, 0.6264], [0.5000, 0.5000, 0.0000], [0.6247, 0.8731, 0.6264], [0.8741, 0.6221, 0.1234], [0.1269, 0.3753, 0.3736], [0.3779, 0.1259, 0.8766], [0.7495, 0.2505, 0.2481], [0.2505, 0.7495, 0.2481], [0.0000, 0.0000, 0.0000], [0.6221, 0.8741, 0.1234], [0.5000, 0.5000, 0.5000], [0.3753, 0.1269, 0.3736], [0.8731, 0.6247, 0.6264], [0.2505, 0.7495, 0.7519], [0.1269, 0.3753, 0.6264], [0.8741, 0.6221, 0.8766], [0.1259, 0.3779, 0.1234], [0.1259, 0.3779, 0.8766], [0.3779, 0.1259, 0.1234], [0.6221, 0.8741, 0.8766], [0.0000, 0.0000, 0.5000], [0.7495, 0.2505, 0.7519], [0.8731, 0.6247, 0.3736], [0.2509, 0.7491, 0.5000], [0.0000, 0.0000, 0.2458], [0.7491, 0.2509, 0.5000], [0.0000, 0.0000, 0.7542], [0.2497, 0.7503, 0.0000], [0.5000, 0.5000, 0.7536], [0.7503, 0.2497, 0.0000], [0.5000, 0.5000, 0.2464]]}

---

{"formula": "NiSbPd", "functional": "PBE-GGA", "state": "relaxed", "raw_formation_energy_mev_per_atom": -243.2, "vol_a3_per_atom": 16.7, "n_ef_per_ev_fu": 2.2, "final_energy_ev_per_atom": -5.275, "density_g_cm3": 9.53, "lattice": [[-1.3157, 3.7936, -0.5007], [-2.1253, 0.1786, 6.9377], [6.1213, 2.3626, 1.8143]], "species": ["Pd", "Pd", "Pd", "Pd", "Sb", "Sb", "Sb", "Sb", "Ni", "Ni", "Ni", "Ni"], "frac_coords": [[0.2500, 0.1595, 0.0221], [0.7500, 0.8405, 0.9779], [0.2500, 0.3405, 0.5221], [0.7500, 0.6595, 0.4779], [0.7500, 0.3589, 0.2351], [0.7500, 0.1411, 0.7351], [0.2500, 0.6411, 0.7649], [0.2500, 0.8589, 0.2649], [0.2500, 0.9579, 0.6251], [0.7500, 0.4579, 0.8749], [0.7500, 0.0421, 0.3749], [0.2500, 0.5421, 0.1251]]}

---

{"formula": "NiSb3Pd", "functional": "PBE-GGA", "state": "relaxed", "raw_formation_energy_mev_per_atom": 356.9, "vol_a3_per_atom": 23.9, "n_ef_per_ev_fu": 3.3, "e_above_lowest_polymorph_mev_per_atom": 0, "final_energy_ev_per_atom": -4.311, "density_g_cm3": 7.37, "lattice": [[4.9252, 0.0000, 0.0000], [0.0000, 4.9252, 0.0000], [0.0000, 0.0000, 4.9252]], "species": ["Ni", "Sb", "Sb", "Sb", "Pd"], "frac_coords": [[0.0000, 0.0000, 0.0000], [0.5000, 0.0000, 0.0000], [0.0000, 0.0000, 0.5000], [0.0000, 0.5000, 0.0000], [0.5000, 0.5000, 0.5000]]}

---

{"formula": "Ni2SbPd", "functional": "PBE-GGA", "state": "relaxed", "raw_formation_energy_mev_per_atom": -111.2, "vol_a3_per_atom": 15.5, "n_ef_per_ev_fu": 2.8, "final_energy_ev_per_atom": -5.331, "density_g_cm3": 9.23, "lattice": [[3.3234, 2.0962, -1.4372], [2.6444, 12.4140, -0.1537], [-1.0259, 0.1970, 4.0022]], "species": ["Ni", "Ni", "Ni", "Ni", "Pd", "Pd", "Sb", "Sb"], "frac_coords": [[0.2320, 0.7892, 0.1200], [0.0000, 0.5000, 0.5000], [0.0000, 0.0000, 0.5000], [0.7680, 0.2108, 0.8800], [0.3951, 0.1014, 0.6956], [0.6049, 0.8986, 0.3044], [0.1154, 0.3301, 0.0529], [0.8846, 0.6699, 0.9471]]}